[1]
Here is an optimized crystal structure of AgIrAuC from Alexandria. Energies are from GGA-PBE.

```
AgIrAuC
1.0
3.3270 0.0000 0.0000
-0.0642 4.8211 0.0000
-0.9554 -1.8745 4.6685
Ag Ir Au C
1 1 1 1
direct
0.0000 0.0000 0.0000
0.8714 0.4785 0.5277
0.4951 0.4958 0.9769
0.3214 0.4517 0.3457
```

* formation enthalpy at 0 K: 697 meV per atom
* density of states at the Fermi level: 0.88 states/eV/cell
* polymorph energy (0 for the lowest one): 0.99 eV per formula unit
* symmetry: P1 (1)


[2]
Here is an optimized crystal structure of AgIrAuC from Alexandria. Energies are from GGA-PBE.

```
AgIrAuC
1.0
4.6654 0.0000 0.0000
0.0000 1.5766 5.0697
0.0000 -1.5766 5.0697
Ag Ir Au C
1 1 1 1
direct
0.0000 0.0000 0.0000
0.5000 0.4469 0.4469
0.5000 0.1778 0.1778
0.5000 0.8441 0.8441
```

* formation enthalpy at 0 K: 611 meV per atom
* density of states at the Fermi level: 0.67 states/eV/cell
* polymorph energy (0 for the lowest one): 0.64 eV per formula unit
* symmetry: Amm2 (38)